ScMnOs2 PBE relaxed; E_tot = -9.4188 eV/atom; SG = I-4m2; mass density = 13.135 g/cm3
1.0
4.8557 0.0372 0.0000
1.6929 4.5512 0.0000
-3.2743 -2.2942 2.7559
Mn Os Sc
1 2 1
Cartesian
2.4278 0.0186 1.3779
0.0000 0.0000 0.0000
0.8465 2.2756 1.3779
3.2743 2.2942 0.0000